1.
The following is a DFT calculation (GGA-PBE) of Pb7C after structural relaxation.

It has space group Fm-3m (No. 225), with a = 9.7669 Å, b = 9.7669 Å, c = 9.7669 Å, α = 90.00°, β = 90.00° and γ = 90.00°. The inequivalent atoms are Pb at (0.0000, 0.0000, 0.0000), Pb at (0.0000, 0.2500, 0.2500) and C at (0.0000, 0.0000, 0.5000).

The calculated formation energy is 0.74 eV/atom.

=====

2.
The following is a DFT calculation (GGA-PBE) of PbC7 after structural relaxation.

It has space group Fm-3m (No. 225), with a = 6.9654 Å, b = 6.9654 Å, c = 6.9654 Å, α = 90.00°, β = 90.00° and γ = 90.00°. The inequivalent atoms are Pb at (0.0000, 0.0000, 0.0000), C at (0.0000, 0.0000, 0.5000) and C at (0.0000, 0.2500, 0.2500).

The calculated formation energy is 4.35 eV/atom.

=====

3.
The following is a DFT calculation (GGA-PBE) of PbC3 after structural relaxation.

It has space group C2/m (No. 12), with a = 7.0050 Å, b = 2.6763 Å, c = 5.9368 Å, α = 90.00°, β = 90.28° and γ = 90.00°. The inequivalent atoms are Pb at (0.0000, 0.0000, 0.0000), C at (0.0000, 0.5000, 0.5000) and C at (0.1968, 0.5000, 0.5000).

The calculated formation energy is 0.98 eV/atom. The calculation puts the distance to the lowest polymorph of the same formula at 0.096 eV per atom.

=====

4.
The following is a DFT calculation (GGA-PBE) of Pb5C4 after structural relaxation.

It has space group P6_3/mcm (No. 193), with a = 7.4414 Å, b = 7.4414 Å, c = 7.1565 Å, α = 90.00°, β = 90.00° and γ = 120.00°. The inequivalent atoms are Pb at (0.0000, 0.2499, 0.2500), Pb at (0.3333, 0.6667, 0.0000), C at (0.0000, 0.0000, 0.0000) and C at (0.0000, 0.4172, 0.7500).

The calculated formation energy is 1.84 eV/atom.

=====

5.
The following is a DFT calculation (GGA-PBE) of PbC2 after structural relaxation.

It has space group R-3m (No. 166, hexagonal axes), with a = 2.7742 Å, b = 2.7742 Å, c = 23.9494 Å, α = 90.00°, β = 90.00° and γ = 120.00°. The inequivalent atoms are Pb at (0.0000, 0.0000, 0.0000) and C at (0.0000, 0.0000, 0.1667).

The calculated formation energy is 1.23 eV/atom. The calculation puts the distance to the lowest polymorph of the same formula at 0.850 eV per atom.

=====

6.
The following is a DFT calculation (GGA-PBE) of PbC2 after structural relaxation.

It has space group Pnma (No. 62), with a = 8.5882 Å, b = 2.6564 Å, c = 14.2693 Å, α = 90.00°, β = 90.00° and γ = 90.00°. The inequivalent atoms are Pb at (0.0674, 0.2500, 0.0985), C at (0.0700, 0.2500, 0.3744) and C at (0.0701, 0.7500, 0.3745).

The calculated formation energy is 1.07 eV/atom. The calculation puts the distance to the lowest polymorph of the same formula at 0.686 eV per atom.

=====

7.
The following is a DFT calculation (GGA-PBE) of PbC5 after structural relaxation.

It has space group P4/mmm (No. 123), with a = 3.4275 Å, b = 3.4275 Å, c = 6.3894 Å, α = 90.00°, β = 90.00° and γ = 90.00°. The inequivalent atoms are Pb at (0.0000, 0.0000, 0.0000), C at (0.0000, 0.0000, 0.3947), C at (0.5000, 0.5000, 0.2898) and C at (0.5000, 0.5000, 0.5000).

The calculated formation energy is 2.41 eV/atom. The calculation puts the distance to the lowest polymorph of the same formula at 1.374 eV per atom.

=====

8.
The following is a DFT calculation (GGA-PBE) of Pb3C after structural relaxation.

It has space group Pm-3m (No. 221), with a = 5.1170 Å, b = 5.1170 Å, c = 5.1170 Å, α = 90.00°, β = 90.00° and γ = 90.00°. The inequivalent atoms are Pb at (0.0000, 0.0000, 0.5000) and C at (0.0000, 0.0000, 0.0000).

The calculated formation energy is 1.23 eV/atom. The calculation puts the distance to the lowest polymorph of the same formula at 0.530 eV per atom.

=====

9.
The following is a DFT calculation (GGA-PBE) of Pb5C after structural relaxation.

It has space group P6/mmm (No. 191), with a = 6.3282 Å, b = 6.3282 Å, c = 5.8554 Å, α = 90.00°, β = 90.00° and γ = 120.00°. The inequivalent atoms are Pb at (0.0000, 0.5000, 0.0000), Pb at (0.3333, 0.6667, 0.5000) and C at (0.0000, 0.0000, 0.5000).

The calculated formation energy is 1.28 eV/atom. The calculation puts the distance to the lowest polymorph of the same formula at 0.550 eV per atom.

=====

10.
The following is a DFT calculation (GGA-PBE) of PbC3 after structural relaxation.

It has space group P4/mmm (No. 123), with a = 3.2443 Å, b = 3.2443 Å, c = 5.2056 Å, α = 90.00°, β = 90.00° and γ = 90.00°. The inequivalent atoms are Pb at (0.0000, 0.0000, 0.0000), C at (0.0000, 0.0000, 0.5000) and C at (0.5000, 0.5000, 0.3738).

The calculated formation energy is 2.54 eV/atom. The calculation puts the distance to the lowest polymorph of the same formula at 1.648 eV per atom.

=====

11.
The following is a DFT calculation (GGA-PBE) of PbC3 after structural relaxation.

It has space group P-6m2 (No. 187), with a = 3.3571 Å, b = 3.3571 Å, c = 5.8295 Å, α = 90.00°, β = 90.00° and γ = 120.00°. The inequivalent atoms are Pb at (0.0000, 0.0000, 0.0000), C at (0.0000, 0.0000, 0.5000) and C at (0.3333, 0.6667, 0.3837).

The calculated formation energy is 2.42 eV/atom. The calculation puts the distance to the lowest polymorph of the same formula at 1.530 eV per atom.

=====

12.
The following is a DFT calculation (GGA-PBE) of PbC3 after structural relaxation.

It has space group P6_3/mmc (No. 194), with a = 5.3281 Å, b = 5.3281 Å, c = 6.0866 Å, α = 90.00°, β = 90.00° and γ = 120.00°. The inequivalent atoms are Pb at (0.3333, 0.6667, 0.2500) and C at (0.0890, 0.1780, 0.7500).

The calculated formation energy is 1.89 eV/atom. The calculation puts the distance to the lowest polymorph of the same formula at 1.000 eV per atom.

=====

13.
The following is a DFT calculation (GGA-PBE) of PbC2 after structural relaxation.

It has space group C2/m (No. 12), with a = 11.7963 Å, b = 2.6467 Å, c = 8.2172 Å, α = 90.00°, β = 116.36° and γ = 90.00°. The inequivalent atoms are Pb at (0.1358, 0.0000, 0.1694), C at (0.0276, 0.5000, 0.4349) and C at (0.0519, 0.0000, 0.3775).

The calculated formation energy is 0.83 eV/atom. The calculation puts the distance to the lowest polymorph of the same formula at 0.445 eV per atom.

=====

14.
The following is a DFT calculation (GGA-PBE) of Pb3C after structural relaxation.

It has space group Pmm2 (No. 25), with a = 3.3753 Å, b = 3.4241 Å, c = 8.9915 Å, α = 90.00°, β = 90.00° and γ = 90.00°. The inequivalent atoms are Pb at (0.0000, 0.0000, 0.0000), Pb at (0.0000, 0.5000, 0.3239), Pb at (0.5000, 0.5000, 0.6794) and C at (0.5000, 0.0000, 0.2064).

The calculated formation energy is 0.97 eV/atom. The calculation puts the distance to the lowest polymorph of the same formula at 0.275 eV per atom.

=====

15.
The following is a DFT calculation (GGA-PBE) of Pb3C after structural relaxation.

It has space group Pmmn (No. 59, origin choice 2), with a = 3.4514 Å, b = 10.3775 Å, c = 5.8009 Å, α = 90.00°, β = 90.00° and γ = 90.00°. The inequivalent atoms are Pb at (0.2500, 0.0837, 0.2438), Pb at (0.2500, 0.2500, 0.7725) and C at (0.2500, 0.7500, 0.8873).

The calculated formation energy is 0.92 eV/atom. The calculation puts the distance to the lowest polymorph of the same formula at 0.218 eV per atom.

=====

16.
The following is a DFT calculation (GGA-PBE) of Pb3C after structural relaxation.

It has space group Immm (No. 71), with a = 3.5085 Å, b = 5.7069 Å, c = 10.4256 Å, α = 90.00°, β = 90.00° and γ = 90.00°. The inequivalent atoms are Pb at (0.0000, 0.0000, 0.0000), Pb at (0.0000, 0.5000, 0.1656) and C at (0.0000, 0.0000, 0.5000).

The calculated formation energy is 0.98 eV/atom. The calculation puts the distance to the lowest polymorph of the same formula at 0.277 eV per atom.

=====

17.
The following is a DFT calculation (GGA-PBE) of PbC5 after structural relaxation.

It has space group P6/mmm (No. 191), with a = 5.0209 Å, b = 5.0209 Å, c = 2.6091 Å, α = 90.00°, β = 90.00° and γ = 120.00°. The inequivalent atoms are Pb at (0.0000, 0.0000, 0.0000), C at (0.0000, 0.5000, 0.5000) and C at (0.3333, 0.6667, 0.0000).

The calculated formation energy is 3.25 eV/atom. The calculation puts the distance to the lowest polymorph of the same formula at 2.220 eV per atom.

=====

18.
The following is a DFT calculation (GGA-PBE) of Pb3C after structural relaxation.

It has space group I4/mmm (No. 139), with a = 4.5925 Å, b = 4.5925 Å, c = 9.6752 Å, α = 90.00°, β = 90.00° and γ = 90.00°. The inequivalent atoms are Pb at (0.0000, 0.0000, 0.0000), Pb at (0.0000, 0.5000, 0.2500) and C at (0.0000, 0.0000, 0.5000).

The calculated formation energy is 1.38 eV/atom. The calculation puts the distance to the lowest polymorph of the same formula at 0.682 eV per atom.

=====

19.
The following is a DFT calculation (GGA-PBE) of Pb5C after structural relaxation.

It has space group F-43m (No. 216), with a = 9.1394 Å, b = 9.1394 Å, c = 9.1394 Å, α = 90.00°, β = 90.00° and γ = 90.00°. The inequivalent atoms are Pb at (0.0000, 0.0000, 0.0000), Pb at (0.1249, 0.1249, 0.6249) and C at (0.2500, 0.2500, 0.2500).

The calculated formation energy is 1.23 eV/atom. The calculation puts the distance to the lowest polymorph of the same formula at 0.500 eV per atom.

=====

20.
The following is a DFT calculation (GGA-PBE) of PbC2 after structural relaxation.

It has space group P-62m (No. 189), with a = 10.0134 Å, b = 10.0134 Å, c = 2.6872 Å, α = 90.00°, β = 90.00° and γ = 120.00°. The inequivalent atoms are Pb at (0.0000, 0.0000, 0.0000), Pb at (0.3333, 0.6667, 0.5000), C at (0.0000, 0.5387, 0.5000) and C at (0.0000, 0.5399, 0.0000).

The calculated formation energy is 1.20 eV/atom. The calculation puts the distance to the lowest polymorph of the same formula at 0.815 eV per atom.

=====

21.
The following is a DFT calculation (GGA-PBE) of PbC3 after structural relaxation.

It has space group Immm (No. 71), with a = 3.5573 Å, b = 5.6926 Å, c = 5.8143 Å, α = 90.00°, β = 90.00° and γ = 90.00°. The inequivalent atoms are Pb at (0.0000, 0.0000, 0.0000), C at (0.0000, 0.0000, 0.5000) and C at (0.0000, 0.5000, 0.1166).

The calculated formation energy is 2.35 eV/atom. The calculation puts the distance to the lowest polymorph of the same formula at 1.463 eV per atom.

=====

22.
The following is a DFT calculation (GGA-PBE) of PbC3 after structural relaxation.

It has space group Cmmm (No. 65), with a = 4.7494 Å, b = 6.2908 Å, c = 3.4481 Å, α = 90.00°, β = 90.00° and γ = 90.00°. The inequivalent atoms are Pb at (0.0000, 0.0000, 0.0000), C at (0.0000, 0.5000, 0.0000) and C at (0.2500, 0.2500, 0.5000).

The calculated formation energy is 3.64 eV/atom. The calculation puts the distance to the lowest polymorph of the same formula at 2.748 eV per atom.

=====

23.
The following is a DFT calculation (GGA-PBE) of PbC2 after structural relaxation.

It has space group Cm (No. 8), with a = 6.4914 Å, b = 3.7552 Å, c = 9.6725 Å, α = 90.00°, β = 101.65° and γ = 90.00°. The inequivalent atoms are Pb at (0.0000, 0.0000, 0.0000), Pb at (0.2037, 0.0000, 0.6719), C at (0.0016, 0.5000, 0.5421), C at (0.3700, 0.0000, 0.1300), C at (0.4139, 0.0000, 0.2673) and C at (0.4583, 0.0000, 0.4047).

The calculated formation energy is 0.93 eV/atom. The calculation puts the distance to the lowest polymorph of the same formula at 0.548 eV per atom.

=====

24.
The following is a DFT calculation (GGA-PBE) of PbC3 after structural relaxation.

It has space group Pnma (No. 62), with a = 6.2631 Å, b = 7.0801 Å, c = 6.5456 Å, α = 90.00°, β = 90.00° and γ = 90.00°. The inequivalent atoms are Pb at (0.0106, 0.2500, 0.0354), C at (0.0326, 0.0796, 0.4730) and C at (0.1139, 0.2500, 0.4055).

The calculated formation energy is 0.89 eV/atom. The calculation puts the distance to the lowest polymorph of the same formula at 0.000 eV per atom.

=====

25.
The following is a DFT calculation (GGA-PBE) of Pb3C after structural relaxation.

It has space group Pm-3n (No. 223), with a = 5.9344 Å, b = 5.9344 Å, c = 5.9344 Å, α = 90.00°, β = 90.00° and γ = 90.00°. The inequivalent atoms are Pb at (0.0000, 0.2500, 0.5000) and C at (0.0000, 0.0000, 0.0000).

The calculated formation energy is 1.43 eV/atom. The calculation puts the distance to the lowest polymorph of the same formula at 0.728 eV per atom.

=====

26.
The following is a DFT calculation (GGA-PBE) of PbC2 after structural relaxation.

It has space group Pnnm (No. 58), with a = 4.5967 Å, b = 6.0217 Å, c = 3.9500 Å, α = 90.00°, β = 90.00° and γ = 90.00°. The inequivalent atoms are Pb at (0.0000, 0.0000, 0.0000) and C at (0.1114, 0.4371, 0.0000).

The calculated formation energy is 1.15 eV/atom. The calculation puts the distance to the lowest polymorph of the same formula at 0.763 eV per atom.

=====

Number 1: E_tot -3.658 eV/atom, total moment 2.8 μB/cell. Number 2: E_tot -4.185 eV/atom, total moment 0.0 μB/cell. Number 3: E_tot -6.861 eV/atom, total moment 0.0 μB/cell. Number 4: E_tot -4.324 eV/atom, total moment 0.0 μB/cell. Number 5: E_tot -6.154 eV/atom, total moment 0.0 μB/cell. Number 6: E_tot -6.318 eV/atom, total moment 0.0 μB/cell. Number 7: E_tot -5.897 eV/atom, total moment 0.0 μB/cell. Number 8: E_tot -3.857 eV/atom, total moment 0.4 μB/cell. Number 9: E_tot -3.352 eV/atom, total moment 1.5 μB/cell. Number 10: E_tot -5.309 eV/atom, total moment 0.0 μB/cell. Number 11: E_tot -5.426 eV/atom, total moment 0.0 μB/cell. Number 12: E_tot -5.956 eV/atom, total moment 0.0 μB/cell. Number 13: E_tot -6.559 eV/atom, total moment 0.0 μB/cell. Number 14: E_tot -4.113 eV/atom, total moment 0.0 μB/cell. Number 15: E_tot -4.169 eV/atom, total moment 0.0 μB/cell. Number 16: E_tot -4.110 eV/atom, total moment 0.0 μB/cell. Number 17: E_tot -5.051 eV/atom, total moment 0.0 μB/cell. Number 18: E_tot -3.705 eV/atom, total moment 0.0 μB/cell. Number 19: E_tot -3.402 eV/atom, total moment 6.6 μB/cell. Number 20: E_tot -6.189 eV/atom, total moment 0.0 μB/cell. Number 21: E_tot -5.494 eV/atom, total moment 0.0 μB/cell. Number 22: E_tot -4.208 eV/atom, total moment 0.0 μB/cell. Number 23: E_tot -6.455 eV/atom, total moment 0.0 μB/cell. Number 24: E_tot -6.956 eV/atom, total moment 0.0 μB/cell. Number 25: E_tot -3.660 eV/atom, total moment 0.0 μB/cell. Number 26: E_tot -6.240 eV/atom, total moment 0.0 μB/cell.